A plane-wave DFT calculation with PBE+U was carried out for a geometry-optimized Ac2CoWO6 structure.

```
data_Ac2CoWO6
_chemical_formula_sum 'Ac4 Co2 W2 O12'
_space_group_name_H-M_alt 'C 1 2/m 1'
_space_group_IT_number 12
_cell_length_a 10.198
_cell_length_b 5.624
_cell_length_c 5.955
_cell_angle_alpha 90.00
_cell_angle_beta 124.90
_cell_angle_gamma 90.00
loop_
_space_group_symop_operation_xyz
'x,y,z'
'-x,-y,-z'
'-x,y,-z'
'x,-y,z'
'x+1/2,y+1/2,z'
'-x+1/2,-y+1/2,-z'
'-x+1/2,y+1/2,-z'
'x+1/2,-y+1/2,z'
loop_
_atom_site_label
_atom_site_fract_x
_atom_site_fract_y
_atom_site_fract_z
Ac1 0.247 0.000 0.253
Co1 0.000 0.500 0.000
W1 0.000 0.000 0.500
O1 0.053 0.243 0.318
O2 0.235 0.000 0.828
```

Output
- calculated total energy (eV/atom) = -7.502
- calculated volume (Å³/atom) = 14.0